First-principles (GGA+U) data for a geometry-optimized MnPIO2 structure, as listed in Alexandria via LeMat-Bulk.

Values from the calculation:
As for the total energy: -24.701 eV per cell. The energy relative to the lowest polymorph listed for this composition is 0.076 eV/atom. Its calculated density is 3.856 g cm⁻³.

Cell: 3.7929 3.7929 7.3288 Å, 90.00 90.00 90.00°
Closest atoms and distances in Å follow each position.
Space group P4/mmm (No. 123)
Asymmetric unit:
Mn 0.0000 0.0000 0.0000 [1 per cell]  4 O 1.90
P 0.5000 0.5000 0.5000 [1 per cell]  4 I 2.68
I 0.0000 0.0000 0.5000 [1 per cell]  4 P 2.68
O 0.0000 0.5000 0.0000 [2 per cell]  2 Mn 1.90